Record 1
VASP calculation (GGA-PBE) on Ba2NiRu after structural relaxation.

Cell lengths 7.4190, 4.2847, 9.0025 Å; angles 90.00, 106.01, 90.00 degrees
Closest atoms and distances in Å follow each position.
Fractional positions:
Ba1 0.0000 0.0000 0.0000  3 Ni 3.27, 3 Ru 3.27
Ba2 0.1654 0.0000 0.4951  3 Ru 3.27, 3 Ni 3.27
Ba3 0.5000 0.5000 0.0000  3 Ni 3.27, 3 Ru 3.27
Ba4 0.6654 0.5000 0.4951  3 Ru 3.27, 3 Ni 3.27
Ni1 0.4159 0.0000 0.2473  3 Ru 2.47
Ni2 0.9159 0.5000 0.2473  3 Ru 2.47
Ru1 0.2496 0.5000 0.2478  3 Ni 2.47
Ru2 0.7496 0.0000 0.2478  3 Ni 2.47

Calculated values
As for the space group: No. 8. Its total energy is -4.579 eV/atom.

Record 2
VASP calculation (GGA-PBE) on ZrRe2Hg after structural relaxation.

Cell lengths 3.0554, 3.0554, 7.9308 Å; angles 90.00, 90.00, 90.00 degrees
Closest atoms and distances in Å follow each position.
Fractional positions:
Zr1 0.0000 0.0000 0.0000  4 Re 2.96, 4 Zr 3.06, 4 Hg 3.16
Re1 0.0000 0.0000 0.5664  4 Re 2.59
Re2 0.5000 0.5000 0.7455  4 Re 2.59
Hg1 0.5000 0.5000 0.2904  4 Hg 3.06, 4 Re 3.08, 4 Zr 3.16

Calculated values
As for the space group: No. 99. Its total energy is -8.353 eV/atom.

Record 3
VASP calculation (GGA-PBE) on CsK2Al after structural relaxation.

Cell lengths 19.8301, 6.0117, 4.3388 Å; angles 90.00, 102.39, 90.00 degrees
Closest atoms and distances in Å follow each position.
Fractional positions:
Cs1 0.0000 0.0000 0.0000  2 Al 3.90-3.91, 2 Cs 4.34
Cs2 0.5000 0.5000 0.0000  2 Al 3.90-3.91, 2 Cs 4.34
K1 0.1698 0.5000 0.1655  4 Al 3.71
K2 0.3181 0.0000 0.3107  2 Al 3.63
K3 0.6698 0.0000 0.1655  4 Al 3.71
K4 0.8181 0.5000 0.3107  2 Al 3.63
Al1 0.1676 0.0000 0.6635  6 K 3.63-3.71, 2 Cs 3.90-3.91
Al2 0.6676 0.5000 0.6635  6 K 3.63-3.71, 2 Cs 3.90-3.91

Calculated values
As for the space group: No. 8. Its total energy is -1.386 eV/atom.

Record 4
VASP calculation (GGA-PBE) on Y2MgInO after structural relaxation.

Cell lengths 4.8212, 4.8212, 4.4518 Å; angles 90.00, 90.00, 90.00 degrees
Closest atoms and distances in Å follow each position.
Fractional positions:
Y1 0.0000 0.5000 0.0000  2 O 2.41
Y2 0.5000 0.0000 0.0000  2 O 2.41
Mg1 0.0000 0.0000 0.5000  2 O 2.23
In1 0.5000 0.5000 0.5000  8 Y 3.28, 4 Mg 3.41
O1 0.0000 0.0000 0.0000  2 Mg 2.23, 4 Y 2.41

Calculated values
As for the space group: No. 123. As for the uncorrected formation energy: -1.316 eV/atom.

Record 5
VASP calculation (GGA-PBE) on NaPtPb2 after structural relaxation.

Cell lengths 3.4982, 3.4982, 8.2859 Å; angles 90.00, 90.00, 90.00 degrees
Closest atoms and distances in Å follow each position.
Fractional positions:
Na1 0.0000 0.0000 0.0000  4 Na 3.50, 8 Pb 3.51
Pt1 0.0000 0.0000 0.5000  8 Pb 2.98
Pb1 0.5000 0.5000 0.2999  4 Pt 2.98, 1 Pb 3.32
Pb2 0.5000 0.5000 0.7001  4 Pt 2.98, 1 Pb 3.32

Calculated values
As for the space group: No. 123. Its total energy is -3.901 eV/atom.

Record 6
VASP calculation (GGA-PBE) on LaAl2VNi after structural relaxation.

Cell lengths 4.4740, 4.4740, 4.7650 Å; angles 90.00, 90.00, 90.00 degrees
Closest atoms and distances in Å follow each position.
Fractional positions:
La1 0.0000 0.0000 0.0000  4 V 3.16, 8 Al 3.27
Al1 0.0000 0.5000 0.5000  2 Ni 2.24
Al2 0.5000 0.0000 0.5000  2 Ni 2.24
V1 0.5000 0.5000 0.0000  2 Ni 2.38
Ni1 0.5000 0.5000 0.5000  4 Al 2.24, 2 V 2.38

Calculated values
As for the space group: No. 123. Its total energy is -5.516 eV/atom.

Question: What is the formula in the sixth record?
Answer: LaAl2VNi